[1]
An optimized crystal structure of ScReSe2. Source: Alexandria, functional PBE.

energy relative to the elements, uncorrected: -0.744 eV/f.u.
E above lowest polymorph: 303 meV/atom

a b c (Å): 7.8780 7.8780 7.8780
angles (deg): 142.00 142.00 54.83
Last column: nearest neighbours and their distance in Å.
Fractional positions:
Sc (0.0000, 0.0000, 0.0000)  4 Se 2.62
Sc (0.7500, 0.2500, 0.5000)  4 Se 2.62
Re (0.2500, 0.7500, 0.5000)  4 Se 2.43
Re (0.5000, 0.5000, 0.0000)  4 Se 2.43
Se (0.1616, 0.6250, 0.0366)  2 Re 2.43, 2 Sc 2.62
Se (0.3750, 0.4116, 0.5366)  2 Re 2.43, 2 Sc 2.62
Se (0.5884, 0.1250, 0.9634)  2 Re 2.43, 2 Sc 2.62
Se (0.8750, 0.8384, 0.4634)  2 Re 2.43, 2 Sc 2.62

---

[2]
An optimized crystal structure of Ho12Sc3In. Source: Alexandria, functional PBE.

DFT formation energy: -37.2 meV per atom

a b c (Å): 4.8564 4.8564 19.6849
angles (deg): 90.00 90.00 90.00
Last column: nearest neighbours and their distance in Å.
Fractional positions:
Ho (0.0000, 0.0000, 0.0000)  4 In 3.43, 8 Ho 3.45
Ho (0.0000, 0.0000, 0.2483)  4 Sc 3.43, 8 Ho 3.44-3.47
Ho (0.0000, 0.0000, 0.5000)  4 Sc 3.43, 8 Ho 3.46
Ho (0.0000, 0.0000, 0.7517)  4 Sc 3.43, 8 Ho 3.44-3.47
Ho (0.0000, 0.5000, 0.1246)  8 Ho 3.43-3.45, 2 In 3.45, 2 Sc 3.46
Ho (0.0000, 0.5000, 0.3746)  8 Ho 3.43-3.47, 4 Sc 3.45-3.46
Ho (0.0000, 0.5000, 0.6254)  8 Ho 3.43-3.47, 4 Sc 3.45-3.46
Ho (0.0000, 0.5000, 0.8754)  8 Ho 3.43-3.45, 2 In 3.45, 2 Sc 3.46
Ho (0.5000, 0.0000, 0.1246)  8 Ho 3.43-3.45, 2 In 3.45, 2 Sc 3.46
Ho (0.5000, 0.0000, 0.3746)  8 Ho 3.43-3.47, 4 Sc 3.45-3.46
Ho (0.5000, 0.0000, 0.6254)  8 Ho 3.43-3.47, 4 Sc 3.45-3.46
Ho (0.5000, 0.0000, 0.8754)  8 Ho 3.43-3.45, 2 In 3.45, 2 Sc 3.46
Sc (0.5000, 0.5000, 0.2500)  12 Ho 3.43-3.46
Sc (0.5000, 0.5000, 0.5000)  12 Ho 3.43-3.46
Sc (0.5000, 0.5000, 0.7500)  12 Ho 3.43-3.46
In (0.5000, 0.5000, 0.0000)  12 Ho 3.43-3.45

---

[3]
An optimized crystal structure of LiSnRu. Source: Alexandria, functional PBE.

DFT formation energy: -29.6 meV per atom

a b c (Å): 6.3055 6.3055 4.0908
angles (deg): 90.00 90.00 120.00
Last column: nearest neighbours and their distance in Å.
Fractional positions:
Li (0.0000, 0.2359, 0.0000)  4 Sn 2.47-2.53, 2 Li 2.58
Li (0.2359, 0.0000, 0.0000)  4 Sn 2.47-2.53, 2 Li 2.58
Li (0.7641, 0.7641, 0.0000)  4 Sn 2.47-2.53, 2 Li 2.58
Sn (0.0000, 0.0000, 0.5000)  6 Li 2.53, 3 Ru 2.77
Sn (0.3333, 0.6667, 0.0000)  3 Li 2.47
Sn (0.6667, 0.3333, 0.0000)  3 Li 2.47
Ru (0.0000, 0.5615, 0.5000)  5 Sn 2.77, 2 Li 2.90
Ru (0.4385, 0.4385, 0.5000)  5 Sn 2.77, 2 Li 2.90
Ru (0.5615, 0.0000, 0.5000)  5 Sn 2.77, 2 Li 2.90

---

[4]
An optimized crystal structure of Li4YZn12. Source: Alexandria, functional PBE.

DFT formation energy: 173.6 meV per atom

a b c (Å): 7.4514 7.4514 7.4514
angles (deg): 109.47 109.47 109.47
Last column: nearest neighbours and their distance in Å.
Fractional positions:
Li (0.0000, 0.0000, 0.5000)  6 Zn 2.48
Li (0.0000, 0.5000, 0.0000)  6 Zn 2.48
Li (0.5000, 0.0000, 0.0000)  6 Zn 2.48
Li (0.5000, 0.5000, 0.5000)  6 Zn 2.48
Y (0.0000, 0.0000, 0.0000)  12 Zn 3.30
Zn (0.1493, 0.5028, 0.3535)  2 Li 2.48, 2 Zn 2.52-2.57
Zn (0.1493, 0.7958, 0.6465)  2 Li 2.48, 2 Zn 2.52-2.57
Zn (0.2042, 0.3535, 0.8507)  2 Li 2.48, 2 Zn 2.52-2.57
Zn (0.3535, 0.1493, 0.5028)  2 Li 2.48, 2 Zn 2.52-2.57
Zn (0.3535, 0.8507, 0.2042)  2 Li 2.48, 2 Zn 2.52-2.57
Zn (0.4972, 0.6465, 0.8507)  2 Li 2.48, 2 Zn 2.52-2.57
Zn (0.5028, 0.3535, 0.1493)  2 Li 2.48, 2 Zn 2.52-2.57
Zn (0.6465, 0.1493, 0.7958)  2 Li 2.48, 2 Zn 2.52-2.57
Zn (0.6465, 0.8507, 0.4972)  2 Li 2.48, 2 Zn 2.52-2.57
Zn (0.7958, 0.6465, 0.1493)  2 Li 2.48, 2 Zn 2.52-2.57
Zn (0.8507, 0.2042, 0.3535)  2 Li 2.48, 2 Zn 2.52-2.57
Zn (0.8507, 0.4972, 0.6465)  2 Li 2.48, 2 Zn 2.52-2.57

---

[5]
An optimized crystal structure of SiSO2. Source: Alexandria, functional PBE.

energy relative to the elements, uncorrected: 0.008 eV/f.u.
E above lowest polymorph: 1549 meV/atom

a b c (Å): 6.8237 6.8237 6.8237
angles (deg): 23.38 23.38 23.38
Last column: nearest neighbours and their distance in Å.
Fractional positions:
Si (0.0000, 0.0000, 0.0000)  2 O 1.66
S (0.5000, 0.5000, 0.5000)  6 O 2.30
O (0.0834, 0.0834, 0.0834)  1 Si 1.66
O (0.9166, 0.9166, 0.9166)  1 Si 1.66

---

[6]
An optimized crystal structure of NaPm2Sn3Te6. Source: Alexandria, functional PBE.

energy relative to the elements, uncorrected: -9.041 eV/f.u.

a b c (Å): 10.2123 10.2123 9.2319
angles (deg): 104.61 104.61 25.17
Last column: nearest neighbours and their distance in Å.
Fractional positions:
Na (0.0000, 0.0000, 0.0000)  6 Te 3.23-3.36
Pm (0.3320, 0.3320, 0.6556)  6 Te 3.14-3.21
Pm (0.6680, 0.6680, 0.3444)  6 Te 3.14-3.21
Sn (0.0000, 0.0000, 0.5000)  6 Te 3.18-3.22
Sn (0.3420, 0.3420, 0.1522)  6 Te 3.13-3.29
Sn (0.6580, 0.6580, 0.8478)  6 Te 3.13-3.29
Te (0.1674, 0.1674, 0.5917)  3 Pm 3.18-3.19, 3 Sn 3.22-3.29
Te (0.1746, 0.1746, 0.0982)  3 Sn 3.16-3.25, 2 Pm 3.21, 1 Na 3.36
Te (0.4953, 0.4953, 0.7440)  3 Sn 3.13-3.18, 1 Pm 3.14, 2 Na 3.23
Te (0.5047, 0.5047, 0.2560)  3 Sn 3.13-3.18, 1 Pm 3.14, 2 Na 3.23
Te (0.8254, 0.8254, 0.9018)  3 Sn 3.16-3.25, 2 Pm 3.21, 1 Na 3.36
Te (0.8326, 0.8326, 0.4083)  3 Pm 3.18-3.19, 3 Sn 3.22-3.29

---

[7]
An optimized crystal structure of PuBiPd3. Source: Alexandria, functional PBE.

DFT formation energy: -327.4 meV per atom

a b c (Å): 6.7875 6.7875 6.7875
angles (deg): 131.51 109.89 89.83
Last column: nearest neighbours and their distance in Å.
Fractional positions:
Pu (0.2533, 0.0033, 0.2500)  5 Pd 2.87-3.09
Pu (0.7467, 0.9967, 0.7500)  5 Pd 2.87-3.09
Bi (0.0000, 0.5000, 0.5000)  6 Pd 2.77-2.83
Bi (0.5000, 0.5000, 0.0000)  6 Pd 2.77-2.83
Pd (0.0450, 0.2950, 0.7500)  2 Bi 2.77, 1 Pu 2.87, 6 Pd 2.89-2.92
Pd (0.3195, 0.0000, 0.8195)  5 Pd 2.79-2.89, 2 Bi 2.83, 2 Pu 3.09
Pd (0.3195, 0.5000, 0.3195)  5 Pd 2.79-2.89, 2 Bi 2.83, 2 Pu 3.09
Pd (0.6805, 0.0000, 0.1805)  5 Pd 2.79-2.89, 2 Bi 2.83, 2 Pu 3.09
Pd (0.6805, 0.5000, 0.6805)  5 Pd 2.79-2.89, 2 Bi 2.83, 2 Pu 3.09
Pd (0.9550, 0.7050, 0.2500)  2 Bi 2.77, 1 Pu 2.87, 6 Pd 2.89-2.92

---

[8]
An optimized crystal structure of TaSi2Ru. Source: Alexandria, functional PBE.

energy relative to the elements, uncorrected: -0.919 eV/f.u.

a b c (Å): 2.8722 4.4608 4.7395
angles (deg): 90.00 102.23 90.00
Last column: nearest neighbours and their distance in Å.
Fractional positions:
Ta (0.0000, 0.0000, 0.0000)  3 Si 2.48-2.74
Si (0.3154, 0.5000, 0.7171)  3 Ru 2.47-2.67, 2 Si 2.72
Si (0.6137, 0.0000, 0.4802)  2 Ru 2.46, 3 Ta 2.48-2.74, 2 Si 2.72
Ru (0.5908, 0.5000, 0.2579)  5 Si 2.46-2.67